(1)
Below is a geometry-optimized PaP2PdO8 structure, with properties calculated at the PBE level.

As for the magnetic moment: 1.0 μB/cell. Its formation energy without anion corrections is -2.125 eV per atom.

The space group is P-3m1 (No. 164) and the conventional cell measures 5.2358, 5.2358 and 7.0560 Å, with angles of 90.00, 90.00 and 120.00 degrees. The inequivalent atoms are Pa at (0.0000, 0.0000, 0.0000), P at (0.3333, 0.6667, 0.1769), Pd at (0.0000, 0.0000, 0.5000), O at (0.1702, 0.3403, 0.2447) and O at (0.3333, 0.6667, 0.9596).

(2)
Below is a geometry-optimized PrPaP2O8 structure, with properties calculated at the PBE level.

As for the magnetic moment: 1.7 μB/cell. Its formation energy without anion corrections is -2.650 eV per atom.

The space group is P-3m1 (No. 164) and the conventional cell measures 5.3773, 5.3773 and 7.3212 Å, with angles of 90.00, 90.00 and 120.00 degrees. The inequivalent atoms are Pr at (0.0000, 0.0000, 0.0000), Pa at (0.0000, 0.0000, 0.5000), P at (0.3333, 0.6667, 0.1950), O at (0.1765, 0.3529, 0.2701) and O at (0.3333, 0.6667, 0.9871).

(3)
Below is a geometry-optimized PuPaPO2 structure, with properties calculated at the PBE level.

As for the magnetic moment: 11.8 μB/cell. Its formation energy without anion corrections is -2.487 eV per atom.

The space group is I4mm (No. 107) and the conventional cell measures 3.7747, 3.7747 and 11.8561 Å, with angles of 90.00, 90.00 and 90.00 degrees. The inequivalent atoms are Pu at (0.0000, 0.0000, 0.0000), Pa at (0.0000, 0.0000, 0.7257), P at (0.0000, 0.0000, 0.3619) and O at (0.0000, 0.5000, 0.1230).